VASP calculation (PBE) on BaAu2Cl after structural relaxation.

a b c (Å): 5.903 12.565 4.175
angles (deg): 90.00 134.23 90.00
Element x y z (fractional)
Ba (0.000, 0.000, 0.000)
Ba (0.500, 0.500, 0.000)
Au (0.250, 0.250, 0.500)
Au (0.250, 0.750, 0.500)
Au (0.750, 0.250, 0.500)
Au (0.750, 0.750, 0.500)
Cl (0.000, 0.500, 0.000)
Cl (0.500, 0.000, 0.000)

Output
formation energy without anion corrections = -0.90 eV per atom
space-group type = No. 12
calculated density = 8.5 g/cm3
DOS(E_F) = 1.20 states/eV per cell
total magnetic moment = 0.00 Bohr magnetons per cell

---

VASP calculation (PBE) on Cd3CuPd3 after structural relaxation.

a b c (Å): 6.320 6.320 6.309
angles (deg): 90.01 90.01 87.18
Element x y z (fractional)
Cd (0.197, 0.803, 0.000)
Cd (0.238, 0.762, 0.500)
Cd (0.246, 0.246, 0.499)
Cd (0.754, 0.754, 0.501)
Cd (0.762, 0.238, 0.500)
Cd (0.803, 0.197, 0.000)
Cu (0.252, 0.252, 0.001)
Cu (0.748, 0.748, 0.999)
Pd (0.000, 0.500, 0.235)
Pd (0.000, 0.500, 0.765)
Pd (0.500, 0.000, 0.235)
Pd (0.500, 0.000, 0.765)
Pd (0.500, 0.500, 0.225)
Pd (0.500, 0.500, 0.775)

Output
space-group type = No. 12
calculated density = 9.5 g/cm3
ΔE_f = -0.25 eV per atom
DOS(E_F) = 3.54 states/eV per cell
total magnetic moment = 0.00 Bohr magnetons per cell

---

VASP calculation (PBE) on LaCo2Rh after structural relaxation.

a b c (Å): 4.362 4.362 17.038
angles (deg): 90.00 90.00 90.00
Element x y z (fractional)
La (0.000, 0.000, 0.000)
La (0.000, 0.500, 0.250)
La (0.500, 0.000, 0.750)
La (0.500, 0.500, 0.500)
Co (0.002, 0.750, 0.625)
Co (0.250, 0.002, 0.375)
Co (0.250, 0.498, 0.875)
Co (0.498, 0.750, 0.125)
Co (0.502, 0.250, 0.125)
Co (0.750, 0.502, 0.875)
Co (0.750, 0.998, 0.375)
Co (0.998, 0.250, 0.625)
Rh (0.000, 0.000, 0.500)
Rh (0.000, 0.500, 0.750)
Rh (0.500, 0.000, 0.250)
Rh (0.500, 0.500, 0.000)

Output
space-group type = No. 122
calculated density = 7.4 g/cm3
ΔE_f = 0.19 eV per atom
DOS(E_F) = 28.81 states/eV per cell
total magnetic moment = 0.00 Bohr magnetons per cell

---

VASP calculation (PBE) on Ac8LaPm2 after structural relaxation.

a b c (Å): 10.197 10.197 10.197
angles (deg): 145.96 126.15 65.26
Element x y z (fractional)
Ac (0.148, 0.355, 0.793)
Ac (0.158, 0.158, 0.000)
Ac (0.297, 0.000, 0.297)
Ac (0.438, 0.645, 0.793)
Ac (0.562, 0.355, 0.207)
Ac (0.703, 0.000, 0.703)
Ac (0.842, 0.842, 0.000)
Ac (0.852, 0.645, 0.207)
La (0.000, 0.500, 0.500)
Pm (0.300, 0.800, 0.500)
Pm (0.700, 0.200, 0.500)

Output
space-group type = No. 71
calculated density = 7.9 g/cm3
ΔE_f = 0.11 eV per atom
DOS(E_F) = 19.30 states/eV per cell
total magnetic moment = 0.00 Bohr magnetons per cell

---

VASP calculation (PBE) on YNbS2 after structural relaxation.

a b c (Å): 6.514 6.514 6.514
angles (deg): 90.00 90.00 90.00
Element x y z (fractional)
Y (0.000, 0.000, 0.000)
Y (0.000, 0.500, 0.500)
Y (0.500, 0.000, 0.500)
Y (0.500, 0.500, 0.000)
Nb (0.000, 0.000, 0.500)
Nb (0.000, 0.500, 0.000)
Nb (0.500, 0.000, 0.000)
Nb (0.500, 0.500, 0.500)
S (0.250, 0.250, 0.250)
S (0.250, 0.250, 0.750)
S (0.250, 0.750, 0.250)
S (0.250, 0.750, 0.750)
S (0.750, 0.250, 0.250)
S (0.750, 0.250, 0.750)
S (0.750, 0.750, 0.250)
S (0.750, 0.750, 0.750)

Output
formation energy without anion corrections = -1.13 eV per atom
space-group type = No. 225
calculated density = 5.9 g/cm3
DOS(E_F) = 0.00 states/eV per cell
total magnetic moment = 0.00 Bohr magnetons per cell

---

VASP calculation (PBE) on SrCaLa after structural relaxation.

a b c (Å): 20.476 20.476 20.476
angles (deg): 10.88 10.88 10.88
Element x y z (fractional)
Sr (0.137, 0.137, 0.137)
Sr (0.863, 0.863, 0.863)
Ca (0.251, 0.251, 0.251)
Ca (0.749, 0.749, 0.749)
La (0.310, 0.310, 0.310)
La (0.690, 0.690, 0.690)

Output
space-group type = No. 166
calculated density = 3.3 g/cm3
ΔE_f = 0.13 eV per atom
DOS(E_F) = 7.52 states/eV per cell
total magnetic moment = 0.00 Bohr magnetons per cell

---

VASP calculation (PBE) on LaHgBi3 after structural relaxation.

a b c (Å): 6.224 6.224 6.224
angles (deg): 90.00 90.00 90.00
Element x y z (fractional)
La (0.000, 0.000, 0.000)
Hg (0.500, 0.500, 0.500)
Bi (0.000, 0.000, 0.500)
Bi (0.000, 0.500, 0.000)
Bi (0.500, 0.000, 0.000)

Output
space-group type = No. 221
calculated density = 6.7 g/cm3
ΔE_f = 0.40 eV per atom
DOS(E_F) = 3.88 states/eV per cell
total magnetic moment = 0.00 Bohr magnetons per cell

---

VASP calculation (PBE) on Tl2ZnH6 after structural relaxation.

a b c (Å): 5.537 5.537 4.224
angles (deg): 90.03 90.03 119.89
Element x y z (fractional)
Tl (0.167, 0.833, 0.000)
Tl (0.833, 0.167, 0.000)
Zn (0.500, 0.500, 0.500)
H (0.230, 0.500, 0.281)
H (0.231, 0.231, 0.719)
H (0.500, 0.230, 0.281)
H (0.500, 0.770, 0.719)
H (0.769, 0.769, 0.281)
H (0.770, 0.500, 0.719)

Output
space-group type = No. 12
calculated density = 7.1 g/cm3
DOS(E_F) = 0.61 states/eV per cell
total magnetic moment = 0.00 Bohr magnetons per cell

---

VASP calculation (PBE) on HfSi3H after structural relaxation.

a b c (Å): 4.029 4.029 4.029
angles (deg): 90.00 90.00 90.00
Element x y z (fractional)
Hf (0.000, 0.000, 0.000)
Si (0.000, 0.500, 0.500)
Si (0.500, 0.000, 0.500)
Si (0.500, 0.500, 0.000)
H (0.500, 0.500, 0.500)

Output
space-group type = No. 221
calculated density = 6.7 g/cm3
DOS(E_F) = 2.04 states/eV per cell
total magnetic moment = 0.00 Bohr magnetons per cell

---

VASP calculation (PBE) on MnFe2Pb after structural relaxation.

a b c (Å): 3.888 3.888 3.914
angles (deg): 90.00 90.00 90.00
Element x y z (fractional)
Mn (0.000, 0.000, 0.000)
Fe (0.000, 0.500, 0.500)
Fe (0.500, 0.000, 0.500)
Pb (0.500, 0.500, 0.000)

Output
space-group type = No. 123
calculated density = 10.5 g/cm3
ΔE_f = 0.40 eV per atom
DOS(E_F) = 2.38 states/eV per cell
total magnetic moment = 7.32 Bohr magnetons per cell

---

VASP calculation (PBE) on GaGeSe after structural relaxation.

a b c (Å): 4.386 5.724 6.421
angles (deg): 76.09 89.74 70.21
Element x y z (fractional)
Ga (0.000, 0.000, 0.000)
Ga (0.472, 0.755, 0.825)
Ge (0.407, 0.564, 0.518)
Ge (0.861, 0.680, 0.297)
Se (0.015, 0.427, 0.012)
Se (0.715, 0.098, 0.619)

Output
formation energy without anion corrections = -0.19 eV per atom
space-group type = No. 1
calculated density = 5.0 g/cm3
DOS(E_F) = 0.26 states/eV per cell
total magnetic moment = 0.00 Bohr magnetons per cell

---

VASP calculation (PBE) on La2Tb7Sm2 after structural relaxation.

a b c (Å): 8.155 8.155 6.160
angles (deg): 106.34 106.34 91.69
Element x y z (fractional)
La (0.098, 0.098, 0.313)
La (0.902, 0.902, 0.687)
Tb (0.087, 0.566, 0.322)
Tb (0.270, 0.270, 0.927)
Tb (0.434, 0.913, 0.678)
Tb (0.500, 0.500, 0.500)
Tb (0.566, 0.087, 0.322)
Tb (0.730, 0.730, 0.073)
Tb (0.913, 0.434, 0.678)
Sm (0.289, 0.711, 0.000)
Sm (0.711, 0.289, 0.000)

Output
space-group type = No. 12
calculated density = 7.5 g/cm3
ΔE_f = 0.14 eV per atom
DOS(E_F) = 18.40 states/eV per cell
total magnetic moment = 0.00 Bohr magnetons per cell

---

| no. | DFT total energy (eV/atom) |
| --- | --- |
| 1 | -3.48 |
| 2 | -3.46 |
| 3 | -6.44 |
| 4 | -4.19 |
| 5 | -7.33 |
| 6 | -2.74 |
| 7 | -2.97 |
| 8 | -2.43 |
| 9 | -5.78 |
| 10 | -7.05 |
| 11 | -3.90 |
| 12 | -4.56 |